Entry 1:
VASP calculation (SCAN) on a PBEsol-optimized structure of Cr4OsRh.

Output
DFT total energy	-29.90	eV/atom
theoretical density	11.64	Mg/m³
total magnetization	0.00	Bohr magnetons per cell
density of states at the Fermi level	4.54	states/eV/f.u.

```
data_Cr4OsRh
_cell_length_a 6.588
_cell_length_b 6.588
_cell_length_c 6.588
_cell_angle_alpha 90.00
_cell_angle_beta 90.00
_cell_angle_gamma 90.00
_symmetry_space_group_name_H-M 'F -4 3 m'
_symmetry_Int_Tables_number 216
_symmetry_space_group_name_Hall 'F -4 2 3'
loop_
_atom_site_label
_atom_site_fract_x
_atom_site_fract_y
_atom_site_fract_z
_atom_site_occupancy
Cr1 0.125 0.125 0.125 1
Os1 0.000 0.000 0.500 1
Rh1 0.250 0.250 0.750 1
```

Entry 2:
VASP calculation (SCAN) on a PBEsol-optimized structure of Cr2OsRh.

Output
DFT total energy	-35.58	eV/atom
theoretical density	13.12	Mg/m³
total magnetization	0.00	Bohr magnetons per cell
density of states at the Fermi level	3.65	states/eV/f.u.
offset from the most stable computed form	38	meV/atom

```
data_Cr2OsRh
_cell_length_a 3.732
_cell_length_b 3.732
_cell_length_c 3.608
_cell_angle_alpha 90.00
_cell_angle_beta 90.00
_cell_angle_gamma 90.00
_symmetry_space_group_name_H-M 'P 4/m m m'
_symmetry_Int_Tables_number 123
_symmetry_space_group_name_Hall '-P 4 2'
loop_
_atom_site_label
_atom_site_fract_x
_atom_site_fract_y
_atom_site_fract_z
_atom_site_occupancy
Cr1 0.000 0.500 0.000 1
Os1 0.000 0.000 0.500 1
Rh1 0.500 0.500 0.500 1
```

Entry 3:
VASP calculation (SCAN) on a PBEsol-optimized structure of Cr2OsRh.

Output
DFT total energy	-35.58	eV/atom
theoretical density	13.08	Mg/m³
total magnetization	0.01	Bohr magnetons per cell
density of states at the Fermi level	3.93	states/eV/f.u.
offset from the most stable computed form	43	meV/atom

```
data_Cr2OsRh
_cell_length_a 2.624
_cell_length_b 3.647
_cell_length_c 5.269
_cell_angle_alpha 90.00
_cell_angle_beta 90.00
_cell_angle_gamma 90.00
_symmetry_space_group_name_H-M 'P m m m'
_symmetry_Int_Tables_number 47
loop_
_symmetry_equiv_pos_as_xyz
'x,y,z'
'-x,-y,-z'
'-x,-y,z'
'x,y,-z'
'x,-y,-z'
'-x,y,z'
'-x,y,-z'
'x,-y,z'
loop_
_atom_site_label
_atom_site_fract_x
_atom_site_fract_y
_atom_site_fract_z
_atom_site_occupancy
Cr1 0.000 0.000 0.245 1
Os1 0.500 0.500 0.000 1
Rh1 0.500 0.500 0.500 1
```

Entry 4:
VASP calculation (SCAN) on a PBEsol-optimized structure of Cr2OsRh.

Output
DFT total energy	-35.58	eV/atom
theoretical density	13.10	Mg/m³
total magnetization	0.02	Bohr magnetons per cell
density of states at the Fermi level	4.04	states/eV/f.u.
offset from the most stable computed form	36	meV/atom

```
data_Cr2OsRh
_cell_length_a 5.273
_cell_length_b 7.269
_cell_length_c 2.627
_cell_angle_alpha 90.00
_cell_angle_beta 90.00
_cell_angle_gamma 90.00
_symmetry_space_group_name_H-M 'C m m m'
_symmetry_Int_Tables_number 65
_symmetry_space_group_name_Hall '-C 2 2'
loop_
_atom_site_label
_atom_site_fract_x
_atom_site_fract_y
_atom_site_fract_z
_atom_site_occupancy
Cr1 0.250 0.250 0.000 1
Os1 0.000 0.000 0.500 1
Rh1 0.000 0.500 0.500 1
```

Entry 5:
VASP calculation (SCAN) on a PBEsol-optimized structure of Cr2OsRh.

Output
DFT total energy	-35.62	eV/atom
theoretical density	13.05	Mg/m³
total magnetization	0.04	Bohr magnetons per cell
density of states at the Fermi level	3.46	states/eV/f.u.
offset from the most stable computed form	0	meV/atom

```
data_Cr2OsRh
_cell_length_a 4.509
_cell_length_b 2.613
_cell_length_c 4.567
_cell_angle_alpha 90.00
_cell_angle_beta 110.06
_cell_angle_gamma 90.00
_symmetry_space_group_name_H-M 'P 1 2/m 1'
_symmetry_Int_Tables_number 10
loop_
_symmetry_equiv_pos_as_xyz
'x,y,z'
'-x,-y,-z'
'-x,y,-z'
'x,-y,z'
loop_
_atom_site_label
_atom_site_fract_x
_atom_site_fract_y
_atom_site_fract_z
_atom_site_occupancy
Cr1 0.000 0.000 0.000 1
Cr2 0.000 0.500 0.500 1
Os1 0.500 0.000 0.500 1
Rh1 0.500 0.500 0.000 1
```

Entry 6:
VASP calculation (SCAN) on a PBEsol-optimized structure of Cr2OsRh.

Output
DFT total energy	-35.49	eV/atom
theoretical density	13.16	Mg/m³
total magnetization	0.00	Bohr magnetons per cell
density of states at the Fermi level	3.81	states/eV/f.u.
offset from the most stable computed form	124	meV/atom

```
data_Cr2OsRh
_cell_length_a 2.786
_cell_length_b 2.786
_cell_length_c 6.456
_cell_angle_alpha 90.00
_cell_angle_beta 90.00
_cell_angle_gamma 90.00
_symmetry_space_group_name_H-M 'P 4 m m'
_symmetry_Int_Tables_number 99
loop_
_symmetry_equiv_pos_as_xyz
'x,y,z'
'-y,x,z'
'-x,-y,z'
'y,-x,z'
'-x,y,z'
'y,x,z'
'x,-y,z'
'-y,-x,z'
loop_
_atom_site_label
_atom_site_fract_x
_atom_site_fract_y
_atom_site_fract_z
_atom_site_occupancy
Cr1 0.000 0.000 0.000 1
Cr2 0.500 0.500 0.194 1
Os1 0.000 0.000 0.442 1
Rh1 0.500 0.500 0.742 1
```

Entry 7:
VASP calculation (SCAN) on a PBEsol-optimized structure of CrOsRu.

Output
DFT total energy	-41.05	eV/atom
theoretical density	12.13	Mg/m³
total magnetization	9.28	Bohr magnetons per cell
density of states at the Fermi level	3.12	states/eV/f.u.

```
data_CrOsRu
_cell_length_a 5.728
_cell_length_b 5.728
_cell_length_c 5.728
_cell_angle_alpha 90.00
_cell_angle_beta 90.00
_cell_angle_gamma 90.00
_symmetry_space_group_name_H-M 'F -4 3 m'
_symmetry_Int_Tables_number 216
_symmetry_space_group_name_Hall 'F -4 2 3'
loop_
_atom_site_label
_atom_site_fract_x
_atom_site_fract_y
_atom_site_fract_z
_atom_site_occupancy
Cr1 0.000 0.000 0.000 1
Os1 0.000 0.000 0.500 1
Ru1 0.250 0.250 0.750 1
```

Entry 8:
VASP calculation (SCAN) on a PBEsol-optimized structure of CrOsRu2.

Output
DFT total energy	-39.88	eV/atom
theoretical density	14.10	Mg/m³
total magnetization	2.53	Bohr magnetons per cell
density of states at the Fermi level	4.12	states/eV/f.u.
offset from the most stable computed form	18	meV/atom

```
data_CrOsRu2
_cell_length_a 8.742
_cell_length_b 2.657
_cell_length_c 4.582
_cell_angle_alpha 90.00
_cell_angle_beta 100.56
_cell_angle_gamma 90.00
_symmetry_space_group_name_H-M 'C 1 m 1'
_symmetry_Int_Tables_number 8
loop_
_symmetry_equiv_pos_as_xyz
'x,y,z'
'x,-y,z'
'x+1/2,y+1/2,z'
'x+1/2,-y+1/2,z'
loop_
_atom_site_label
_atom_site_fract_x
_atom_site_fract_y
_atom_site_fract_z
_atom_site_occupancy
Cr1 0.000 0.000 0.000 1
Os1 0.248 0.500 0.251 1
Ru1 0.000 0.500 0.503 1
Ru2 0.254 0.000 0.764 1
```

Entry 9:
VASP calculation (SCAN) on a PBEsol-optimized structure of CrOsRu2.

Output
DFT total energy	-39.85	eV/atom
theoretical density	14.14	Mg/m³
total magnetization	0.00	Bohr magnetons per cell
density of states at the Fermi level	4.35	states/eV/f.u.
offset from the most stable computed form	54	meV/atom

```
data_CrOsRu2
_cell_length_a 2.650
_cell_length_b 2.650
_cell_length_c 7.432
_cell_angle_alpha 90.00
_cell_angle_beta 90.00
_cell_angle_gamma 90.00
_symmetry_space_group_name_H-M 'P 4 m m'
_symmetry_Int_Tables_number 99
loop_
_symmetry_equiv_pos_as_xyz
'x,y,z'
'-y,x,z'
'-x,-y,z'
'y,-x,z'
'-x,y,z'
'y,x,z'
'x,-y,z'
'-y,-x,z'
loop_
_atom_site_label
_atom_site_fract_x
_atom_site_fract_y
_atom_site_fract_z
_atom_site_occupancy
Cr1 0.000 0.000 0.000 1
Os1 0.500 0.500 0.245 1
Ru1 0.000 0.000 0.503 1
Ru2 0.500 0.500 0.764 1
```

Entry 10:
VASP calculation (SCAN) on a PBEsol-optimized structure of CrOsRu2.

Output
DFT total energy	-39.90	eV/atom
theoretical density	14.13	Mg/m³
total magnetization	2.12	Bohr magnetons per cell
density of states at the Fermi level	3.88	states/eV/f.u.
offset from the most stable computed form	0	meV/atom

```
data_CrOsRu2
_cell_length_a 3.734
_cell_length_b 3.734
_cell_length_c 7.488
_cell_angle_alpha 90.00
_cell_angle_beta 90.00
_cell_angle_gamma 90.00
_symmetry_space_group_name_H-M 'I -4 m 2'
_symmetry_Int_Tables_number 119
_symmetry_space_group_name_Hall 'I -4 -2'
loop_
_atom_site_label
_atom_site_fract_x
_atom_site_fract_y
_atom_site_fract_z
_atom_site_occupancy
Cr1 0.000 0.000 0.000 1
Os1 0.000 0.500 0.250 1
Ru1 0.000 0.000 0.500 1
Ru2 0.000 0.500 0.750 1
```

Entry 11:
VASP calculation (SCAN) on a PBEsol-optimized structure of CrOsRu2.

Output
DFT total energy	-39.88	eV/atom
theoretical density	14.13	Mg/m³
total magnetization	0.00	Bohr magnetons per cell
density of states at the Fermi level	3.54	states/eV/f.u.
offset from the most stable computed form	18	meV/atom

```
data_CrOsRu2
_cell_length_a 3.733
_cell_length_b 3.733
_cell_length_c 3.746
_cell_angle_alpha 90.00
_cell_angle_beta 90.00
_cell_angle_gamma 90.00
_symmetry_space_group_name_H-M 'P 4/m m m'
_symmetry_Int_Tables_number 123
_symmetry_space_group_name_Hall '-P 4 2'
loop_
_atom_site_label
_atom_site_fract_x
_atom_site_fract_y
_atom_site_fract_z
_atom_site_occupancy
Cr1 0.000 0.000 0.000 1
Os1 0.500 0.500 0.000 1
Ru1 0.000 0.500 0.500 1
```

Entry 12:
VASP calculation (SCAN) on a PBEsol-optimized structure of CrOsRu2.

Output
DFT total energy	-39.68	eV/atom
theoretical density	13.94	Mg/m³
total magnetization	2.70	Bohr magnetons per cell
density of states at the Fermi level	4.04	states/eV/f.u.
offset from the most stable computed form	220	meV/atom

```
data_CrOsRu2
_cell_length_a 2.761
_cell_length_b 4.303
_cell_length_c 8.909
_cell_angle_alpha 90.00
_cell_angle_beta 90.00
_cell_angle_gamma 90.00
_symmetry_space_group_name_H-M 'I m m m'
_symmetry_Int_Tables_number 71
_symmetry_space_group_name_Hall '-I 2 2'
loop_
_atom_site_label
_atom_site_fract_x
_atom_site_fract_y
_atom_site_fract_z
_atom_site_occupancy
Cr1 0.000 0.000 0.000 1
Os1 0.000 0.000 0.500 1
Ru1 0.000 0.500 0.278 1
```

Entry 13:
VASP calculation (SCAN) on a PBEsol-optimized structure of CrOs3Ru.

Output
DFT total energy	-51.49	eV/atom
theoretical density	12.51	Mg/m³
total magnetization	3.53	Bohr magnetons per cell
density of states at the Fermi level	4.71	states/eV/f.u.

```
data_CrOs3Ru
_cell_length_a 4.580
_cell_length_b 4.580
_cell_length_c 4.580
_cell_angle_alpha 90.00
_cell_angle_beta 90.00
_cell_angle_gamma 90.00
_symmetry_space_group_name_H-M 'P m -3 m'
_symmetry_Int_Tables_number 221
_symmetry_space_group_name_Hall '-P 4 2 3'
loop_
_atom_site_label
_atom_site_fract_x
_atom_site_fract_y
_atom_site_fract_z
_atom_site_occupancy
Cr1 0.000 0.000 0.000 1
Os1 0.000 0.500 0.500 1
Ru1 0.500 0.500 0.500 1
```

Entry 14:
VASP calculation (SCAN) on a PBEsol-optimized structure of CrSbOs2.

Output
formation energy without anion corrections	0.247	eV per atom
DFT total energy	-49.60	eV/atom
theoretical density	15.30	Mg/m³
total magnetization	2.84	Bohr magnetons per cell
density of states at the Fermi level	1.58	states/eV/f.u.

```
data_CrSbOs2
_cell_length_a 4.358
_cell_length_b 4.358
_cell_length_c 3.167
_cell_angle_alpha 90.00
_cell_angle_beta 90.00
_cell_angle_gamma 90.00
_symmetry_space_group_name_H-M 'P 4/m m m'
_symmetry_Int_Tables_number 123
_symmetry_space_group_name_Hall '-P 4 2'
loop_
_atom_site_label
_atom_site_fract_x
_atom_site_fract_y
_atom_site_fract_z
_atom_site_occupancy
Cr1 0.000 0.000 0.000 1
Sb1 0.500 0.500 0.000 1
Os1 0.000 0.500 0.500 1
```

Entry 15:
VASP calculation (SCAN) on a PBEsol-optimized structure of CrSbOs3.

Output
formation energy without anion corrections	1.710	eV per atom
DFT total energy	-52.55	eV/atom
theoretical density	14.01	Mg/m³
total magnetization	0.00	Bohr magnetons per cell
density of states at the Fermi level	4.79	states/eV/f.u.

```
data_CrSbOs3
_cell_length_a 4.452
_cell_length_b 4.452
_cell_length_c 4.452
_cell_angle_alpha 90.00
_cell_angle_beta 90.00
_cell_angle_gamma 90.00
_symmetry_space_group_name_H-M 'P m -3 m'
_symmetry_Int_Tables_number 221
_symmetry_space_group_name_Hall '-P 4 2 3'
loop_
_atom_site_label
_atom_site_fract_x
_atom_site_fract_y
_atom_site_fract_z
_atom_site_occupancy
Cr1 0.000 0.000 0.000 1
Sb1 0.500 0.500 0.500 1
Os1 0.000 0.000 0.500 1
```

Entry 16:
VASP calculation (SCAN) on a PBEsol-optimized structure of CrSb2TeOs.

Output
formation energy without anion corrections	1.401	eV per atom
DFT total energy	-39.01	eV/atom
theoretical density	9.09	Mg/m³
total magnetization	3.36	Bohr magnetons per cell
density of states at the Fermi level	4.02	states/eV/f.u.

```
data_CrSb2TeOs
_cell_length_a 4.824
_cell_length_b 4.824
_cell_length_c 4.812
_cell_angle_alpha 90.00
_cell_angle_beta 90.00
_cell_angle_gamma 90.00
_symmetry_space_group_name_H-M 'P 4/m m m'
_symmetry_Int_Tables_number 123
_symmetry_space_group_name_Hall '-P 4 2'
loop_
_atom_site_label
_atom_site_fract_x
_atom_site_fract_y
_atom_site_fract_z
_atom_site_occupancy
Cr1 0.000 0.000 0.000 1
Sb1 0.000 0.500 0.000 1
Te1 0.000 0.000 0.500 1
Os1 0.500 0.500 0.500 1
```